VASP calculation (GGA-PBE) on ZrClF3 after structural relaxation.

## Properties
Its space-group type is Pm-3m, No. 221. The formation energy without anion corrections comes out at -1.7 eV per formula unit. The total magnetic moment is 1.804 μB/cell. Its polymorph energy (0 for the lowest one) is 265.1 kJ per mole of atoms.

Cell lengths 4.4497, 4.4497, 4.4497 Å; angles 90.00, 90.00, 90.00 degrees
With the nearest neighbours (Å) after each atom.
Positions (direct):
Zr 0.5000 0.5000 0.5000  12 F 3.15
F 0.0000 0.0000 0.5000  2 Cl 2.22
Cl 0.0000 0.0000 0.0000  6 F 2.22
F 0.5000 0.0000 0.0000  2 Cl 2.22
F 0.0000 0.5000 0.0000  2 Cl 2.22


VASP calculation (GGA-PBE) on ZrCoRh after structural relaxation.

## Properties
Its space-group type is I4mm, No. 107. The total magnetic moment is 1.405 μB/cell. The formation energy from the elements is -0.29 eV/atom.

Cell lengths 5.0085, 5.0085, 5.0085 Å; angles 141.97, 141.98, 54.86 degrees
With the nearest neighbours (Å) after each atom.
Positions (direct):
Rh 0.3342 0.3342 0.0000  5 Co 2.75-2.95, 5 Zr 2.76-2.93
Co 0.0025 0.0025 0.0000  5 Zr 2.71-3.02, 5 Rh 2.75-2.95
Zr 0.6633 0.6633 0.0000  5 Co 2.71-3.02, 5 Rh 2.76-2.93


VASP calculation (GGA-PBE) on NbV2Hg after structural relaxation.

## Properties
Its space-group type is I-42d, No. 122. The total magnetic moment is 0.000 μB/cell. The formation energy from the elements is 0.77 eV/atom.

Cell lengths 3.9094, 3.9094, 9.8741 Å; angles 78.58, 78.58, 90.00 degrees
With the nearest neighbours (Å) after each atom.
Positions (direct):
Hg 0.0000 0.0000 0.0000  4 Nb 2.76, 4 V 2.78
Hg 0.7500 0.2500 0.5000  4 Nb 2.76, 4 V 2.78
Nb 0.5000 0.5000 0.0000  4 V 2.71, 4 Hg 2.76
V 0.1486 0.6250 0.2500  4 V 2.64-2.90, 2 Nb 2.71, 2 Hg 2.78
Nb 0.2500 0.7500 0.5000  4 V 2.71, 4 Hg 2.76
V 0.3750 0.3986 0.7500  4 V 2.64-2.90, 2 Nb 2.71, 2 Hg 2.78
V 0.6014 0.1250 0.2500  4 V 2.64-2.90, 2 Nb 2.71, 2 Hg 2.78
V 0.8750 0.8514 0.7500  4 V 2.64-2.90, 2 Nb 2.71, 2 Hg 2.78


VASP calculation (GGA-PBE) on VCo3 after structural relaxation.

## Properties
Its space-group type is R-3m, No. 166. The total magnetic moment is 3.253 μB/cell. The formation energy from the elements is 0.04 eV/atom.

Cell lengths 8.4064, 8.4064, 8.4064 Å; angles 17.21, 17.21, 17.21 degrees
With the nearest neighbours (Å) after each atom.
Positions (direct):
Co 0.7519 0.7519 0.7519  9 Co 2.49-2.52, 3 V 2.57
V 0.0000 0.0000 0.0000  6 V 2.52, 6 Co 2.57
Co 0.2481 0.2481 0.2481  9 Co 2.49-2.52, 3 V 2.57
Co 0.5000 0.5000 0.5000  12 Co 2.49-2.52


VASP calculation (GGA-PBE) on KTlAuBr after structural relaxation.

## Properties
Its space-group type is F-43m, No. 216. The formation energy without anion corrections comes out at -2.5 eV per formula unit. The total magnetic moment is 0.000 μB/cell.

Cell lengths 5.5840, 5.5840, 5.5840 Å; angles 60.00, 60.00, 60.00 degrees
With the nearest neighbours (Å) after each atom.
Positions (direct):
Br 0.2500 0.2500 0.2500  4 Tl 3.42, 4 K 3.42
Au 0.7500 0.7500 0.7500  4 K 3.42, 4 Tl 3.42
Tl 0.5000 0.5000 0.5000  4 Br 3.42, 4 Au 3.42
K 0.0000 0.0000 0.0000  4 Br 3.42, 4 Au 3.42


VASP calculation (GGA-PBE) on Ce4SnBi2 after structural relaxation.

## Properties
Its space-group type is I-42d, No. 122. The total magnetic moment is 11.960 μB/cell. The formation energy from the elements is -0.64 eV/atom.

Cell lengths 8.3385, 8.3385, 8.3385 Å; angles 70.50, 70.54, 109.46 degrees
With the nearest neighbours (Å) after each atom.
Positions (direct):
Ce 0.2486 0.8812 0.7248  2 Sn 3.20-3.40, 4 Bi 3.25-3.45, 1 Ce 3.57
Sn 0.5000 0.2500 0.2500  8 Ce 3.20-3.40
Bi 0.3722 0.6250 0.5028  8 Ce 3.25-3.45
Bi 0.1278 0.5028 0.1250  8 Ce 3.25-3.45
Ce 0.2514 0.8827 0.2233  2 Sn 3.20-3.40, 4 Bi 3.25-3.45, 1 Ce 3.57
Ce 0.3940 0.3673 0.8812  2 Sn 3.20-3.40, 4 Bi 3.25-3.45, 1 Ce 3.57
Ce 0.8940 0.3688 0.8827  2 Sn 3.20-3.40, 4 Bi 3.25-3.45, 1 Ce 3.57
Ce 0.6060 0.7248 0.0267  2 Sn 3.20-3.40, 4 Bi 3.25-3.45, 1 Ce 3.57
Bi 0.8722 0.7472 0.6250  8 Ce 3.25-3.45
Ce 0.7486 0.5252 0.3688  2 Sn 3.20-3.40, 4 Bi 3.25-3.45, 1 Ce 3.57
Ce 0.7514 0.0267 0.3673  2 Sn 3.20-3.40, 4 Bi 3.25-3.45, 1 Ce 3.57
Sn 0.0000 0.0000 0.0000  8 Ce 3.20-3.40
Bi 0.6278 0.1250 0.7472  8 Ce 3.25-3.45
Ce 0.1060 0.2233 0.5252  2 Sn 3.20-3.40, 4 Bi 3.25-3.45, 1 Ce 3.57


VASP calculation (GGA-PBE) on PmInRh2 after structural relaxation.

## Properties
Its space-group type is Fm-3m, No. 225. The total magnetic moment is 0.000 μB/cell. The formation energy from the elements is -0.64 eV/atom.

Cell lengths 4.7706, 4.7714, 4.7688 Å; angles 59.99, 60.02, 59.97 degrees
With the nearest neighbours (Å) after each atom.
Positions (direct):
Pm 0.2500 0.2500 0.2500  8 Rh 2.92
Rh 0.0001 0.9999 0.0000  4 Pm 2.92, 4 In 2.92
Rh 0.5000 0.5000 0.5000  4 In 2.92, 4 Pm 2.92
In 0.7500 0.7500 0.7500  8 Rh 2.92


VASP calculation (GGA-PBE) on LiZr2Au3 after structural relaxation.

## Properties
Its space-group type is P4/mmm, No. 123. The total magnetic moment is 0.000 μB/cell. The formation energy from the elements is -0.50 eV/atom.

Cell lengths 3.1039, 3.1039, 11.3307 Å; angles 90.00, 90.00, 90.00 degrees
With the nearest neighbours (Å) after each atom.
Positions (direct):
Au 0.0000 0.0000 0.3615  4 Li 2.70, 4 Zr 2.99
Au 0.0000 0.0000 0.6385  4 Li 2.70, 4 Zr 2.99
Zr 0.5000 0.5000 0.1824  8 Au 2.99-3.01, 4 Zr 3.10
Au 0.0000 0.0000 0.0000  8 Zr 3.01, 4 Au 3.10
Zr 0.5000 0.5000 0.8176  8 Au 2.99-3.01, 4 Zr 3.10
Li 0.5000 0.5000 0.5000  8 Au 2.70


Number 1: volume 17.6 Å³/atom. Number 2: volume 15.8 Å³/atom. Number 3: volume 18.1 Å³/atom. Number 4: volume 11.3 Å³/atom. Number 5: volume 30.8 Å³/atom. Number 6: volume 31.9 Å³/atom. Number 7: volume 19.2 Å³/atom. Number 8: volume 18.2 Å³/atom.